The following is a DFT calculation (PBE with a Hubbard U) of a geometry-optimized AlVCoF2 structure.

Summary:
Total DFT energy (no corrections), eV per atom: -4.74
Size of the total moment, Bohr magnetons per cell: 2.0

```
AlVCoF2
1.0
3.603 0.000 0.000
0.000 3.603 0.000
0.000 0.000 6.293
Al V Co F
1 1 1 2
direct
0.000 0.000 0.000
0.000 0.000 0.500
0.500 0.500 0.500
0.000 0.500 0.000
0.500 0.000 0.000
```